# TlRh2W, relaxed, DFT PBE-GGA
# **Calculated formation energy**: 0.384 eV per atom
data_TlRh2W
_chemical_formula_sum 'Tl4 Rh8 W4'
_space_group_name_H-M_alt 'F m -3 m'
_space_group_IT_number 225
_space_group_name_Hall '-F 4 2 3'
_cell_length_a 6.427
_cell_length_b 6.427
_cell_length_c 6.427
_cell_angle_alpha 90.00
_cell_angle_beta 90.00
_cell_angle_gamma 90.00
loop_
_atom_site_label
_atom_site_fract_x
_atom_site_fract_y
_atom_site_fract_z
Tl1 0.000 0.000 0.000
Rh1 0.250 0.250 0.250
W1 0.000 0.000 0.500